# 1
Here is a geometry-optimized Nd5ZnAg4 structure from Alexandria. Energies are from GGA-PBE.

a b c (Å): 3.7317 3.7317 18.8049
angles (deg): 90.00 90.00 90.00
Element x y z (fractional)
Nd 0.5000 0.5000 0.7025
Nd 0.5000 0.5000 0.2975
Nd 0.5000 0.5000 0.0954
Nd 0.5000 0.5000 0.5000
Nd 0.5000 0.5000 0.9046
Ag 0.0000 0.0000 0.6004
Ag 0.0000 0.0000 0.1966
Ag 0.0000 0.0000 0.8034
Ag 0.0000 0.0000 0.3996
Zn 0.0000 0.0000 0.0000

Calculated values
SG	No. 123
energy relative to the elements	-26	kJ per mole of atoms

# 2
Here is a geometry-optimized DyZn12Ir4 structure from Alexandria. Energies are from GGA-PBE.

a b c (Å): 7.5107 7.5107 7.5107
angles (deg): 109.47 109.47 109.47
Element x y z (fractional)
Zn 0.1586 0.6499 0.8085
Zn 0.8414 0.3501 0.1915
Zn 0.8085 0.1586 0.6499
Zn 0.8414 0.6499 0.4913
Zn 0.1915 0.8414 0.3501
Zn 0.6499 0.8085 0.1586
Zn 0.6499 0.4913 0.8414
Zn 0.3501 0.1915 0.8414
Zn 0.1586 0.3501 0.5087
Zn 0.5087 0.1586 0.3501
Zn 0.4913 0.8414 0.6499
Zn 0.3501 0.5087 0.1586
Ir 0.5000 0.5000 0.5000
Ir 0.5000 0.0000 0.0000
Ir 0.0000 0.5000 0.0000
Ir 0.0000 0.0000 0.5000
Dy 0.0000 0.0000 0.0000

Calculated values
SG	No. 204
energy relative to the elements	16	kJ per mole of atoms

# 3
Here is a geometry-optimized NiPb structure from Alexandria. Energies are from GGA-PBE.

a b c (Å): 4.0484 8.3961 6.8611
angles (deg): 90.00 90.00 90.00
Element x y z (fractional)
Ni 0.5000 0.6682 0.0243
Ni 0.5000 0.3318 0.0243
Ni 0.0000 0.0000 0.5813
Ni 0.5000 0.1682 0.5243
Ni 0.5000 0.8318 0.5243
Ni 0.0000 0.5000 0.0813
Pb 0.0000 0.3085 0.7433
Pb 0.5000 0.0000 0.8855
Pb 0.0000 0.6915 0.7433
Pb 0.0000 0.8085 0.2433
Pb 0.5000 0.5000 0.3855
Pb 0.0000 0.1915 0.2433

Calculated values
SG	No. 38
energy relative to the elements	16	kJ per mole of atoms